A geometry-optimized DyHoMgIn structure. Source: Alexandria, functional GGA-PBE.

Results
Fermi-level density of states: 2.69 states/eV/f.u.
VASP energy: -3.695 eV per atom
formation enthalpy at 0 K: -317 meV per atom

Structure (CIF):
```
data_DyHoMgIn
_space_group_name_H-M_alt 'F -4 3 m'
_space_group_IT_number 216
_space_group_name_Hall 'F -4 2 3'
_cell_length_a 7.495
_cell_length_b 7.495
_cell_length_c 7.495
_cell_angle_alpha 90.00
_cell_angle_beta 90.00
_cell_angle_gamma 90.00
loop_
_atom_site_label
_atom_site_type_symbol
_atom_site_fract_x
_atom_site_fract_y
_atom_site_fract_z
Dy1 Dy 0.000 0.000 0.000
Ho1 Ho 0.000 0.000 0.500
Mg1 Mg 0.250 0.250 0.750
In1 In 0.250 0.250 0.250
```